DFT (GGA-PBE) results for LiHfZrP2 after structural relaxation.

Unit cell a=5.0423 b=5.0423 c=5.1765 alpha=90.00 beta=90.00 gamma=90.00
Sites, in units of the cell vectors:
Li (0.0000, 0.0000, 0.0000)
Hf (0.5000, 0.5000, 0.0000)
Zr (0.5000, 0.5000, 0.5000)
P (0.0000, 0.5000, 0.5000)
P (0.5000, 0.0000, 0.5000)

- DOS at the Fermi energy (states/eV/cell) = 4.60
- total magnetization (μB per formula unit) = 0.00
- mass density (g cm⁻³) = 4.272
- ΔH_f (0 K) (meV/atom) = 605
- VASP energy (eV per atom) = -5.64